[1]
{"formula": "ZrNi2W", "functional": "GGA-PBEsol", "state": "relaxed", "lattice_angstrom": [[2.727, 0.000, 0.000], [0.000, 4.344, 0.000], [-0.447, 0.000, 4.751]], "species": ["Zr", "Ni", "Ni", "W"], "frac_coords": [[0.000, 0.000, 0.000], [0.569, 0.000, 0.484], [0.570, 0.500, 0.152], [0.168, 0.500, 0.611]], "n_ef_per_ev_cell": 4.54, "space_group": "Pm, No. 6", "vol_a3_per_atom": 14.07, "formation_energy_kj_per_mol_fu": -33}

***

[2]
{"formula": "ZrNiW3", "functional": "GGA-PBEsol", "state": "relaxed", "lattice_angstrom": [[4.655, 0.000, 0.000], [0.000, 4.655, 0.000], [0.000, 0.000, 4.655]], "species": ["Zr", "Ni", "W", "W", "W"], "frac_coords": [[0.000, 0.000, 0.000], [0.500, 0.500, 0.500], [0.000, 0.000, 0.500], [0.000, 0.500, 0.000], [0.500, 0.000, 0.000]], "n_ef_per_ev_cell": 5.14, "space_group": "Pm-3m, No. 221", "vol_a3_per_atom": 20.17, "formation_energy_kj_per_mol_fu": 1388}

***

[3]
{"formula": "ZrNi2W", "functional": "GGA-PBEsol", "state": "relaxed", "lattice_angstrom": [[-1.850, 1.850, 4.174], [1.850, -1.850, 4.174], [1.850, 1.850, -4.174]], "species": ["Zr", "Ni", "Ni", "W"], "frac_coords": [[0.000, 0.000, 0.000], [0.500, 0.500, 0.000], [0.750, 0.250, 0.500], [0.250, 0.750, 0.500]], "n_ef_per_ev_cell": 5.12, "space_group": "I-4m2, No. 119", "vol_a3_per_atom": 14.28, "formation_energy_kj_per_mol_fu": 35}

***

[4]
{"formula": "ZrNi2W", "functional": "GGA-PBEsol", "state": "relaxed", "lattice_angstrom": [[2.752, -3.739, 0.000], [2.752, 3.739, 0.000], [-0.007, 0.000, 2.719]], "species": ["Zr", "Ni", "Ni", "W"], "frac_coords": [[0.000, 0.000, 0.000], [0.000, 0.500, 0.500], [0.500, 0.000, 0.500], [0.500, 0.500, 0.000]], "n_ef_per_ev_cell": 3.56, "space_group": "C2/m, No. 12", "vol_a3_per_atom": 13.99, "formation_energy_kj_per_mol_fu": -25}

***

[5]
{"formula": "ZrNiW", "functional": "GGA-PBEsol", "state": "relaxed", "lattice_angstrom": [[4.484, 0.000, 0.000], [-2.242, 3.883, 0.000], [0.000, 0.000, 2.738]], "species": ["Zr", "Ni", "W"], "frac_coords": [[0.000, 0.000, 0.000], [0.333, 0.667, 0.502], [0.667, 0.333, 0.499]], "n_ef_per_ev_cell": 3.39, "space_group": "P3m1, No. 156", "vol_a3_per_atom": 15.89, "formation_energy_kj_per_mol_fu": 75}

***

[6]
{"formula": "YNi5", "functional": "GGA-PBEsol", "state": "relaxed", "lattice_angstrom": [[4.802, 0.000, 0.000], [-2.401, 4.159, 0.000], [0.000, 0.000, 3.899]], "species": ["Y", "Ni", "Ni", "Ni", "Ni", "Ni"], "frac_coords": [[0.000, 0.000, 0.000], [0.000, 0.500, 0.500], [0.333, 0.667, 0.000], [0.500, 0.000, 0.500], [0.500, 0.500, 0.500], [0.667, 0.333, 0.000]], "n_ef_per_ev_cell": 6.94, "space_group": "P6/mmm, No. 191", "vol_a3_per_atom": 12.98, "formation_energy_kj_per_mol_fu": -188}

***

[7]
{"formula": "YNi", "functional": "GGA-PBEsol", "state": "relaxed", "lattice_angstrom": [[3.605, 0.000, 0.000], [-1.802, 3.122, 0.000], [0.000, 0.000, 7.610]], "species": ["Y", "Y", "Ni", "Ni"], "frac_coords": [[0.333, 0.667, 0.299], [0.667, 0.333, 0.701], [0.333, 0.667, 0.926], [0.667, 0.333, 0.074]], "n_ef_per_ev_cell": 2.50, "space_group": "P-3m1, No. 164", "vol_a3_per_atom": 21.41, "formation_energy_kj_per_mol_fu": 2}

***

[8]
{"formula": "YNi", "functional": "GGA-PBEsol", "state": "relaxed", "lattice_angstrom": [[7.032, 0.000, 0.000], [0.000, 4.064, 0.000], [0.000, 0.000, 5.392]], "species": ["Y", "Y", "Y", "Y", "Ni", "Ni", "Ni", "Ni"], "frac_coords": [[0.180, 0.250, 0.132], [0.320, 0.750, 0.632], [0.680, 0.250, 0.368], [0.820, 0.750, 0.868], [0.036, 0.250, 0.623], [0.464, 0.750, 0.123], [0.536, 0.250, 0.877], [0.964, 0.750, 0.377]], "n_ef_per_ev_cell": 5.75, "space_group": "Pnma, No. 62", "vol_a3_per_atom": 19.26, "formation_energy_kj_per_mol_fu": -82}